# 1
! MoIr | Alexandria | GGA-PBE | relaxed; values from VASP
&SYSTEM
  ibrav = 0, nat = 8, ntyp = 2
/
ATOMIC_SPECIES
Mo 95.94 Mo.upf
Ir 192.22 Ir.upf
CELL_PARAMETERS angstrom
2.1661 -3.7519 0.0000
2.1661 3.7519 0.0000
0.0000 0.0000 8.0111
ATOMIC_POSITIONS angstrom
Mo 0.0000 0.0000 2.0028
Mo 0.0000 0.0000 6.0083
Mo 2.1661 1.2506 6.0083
Mo 2.1661 -1.2506 2.0028
Ir 2.1661 1.2506 0.6600
Ir 2.1661 -1.2506 4.6656
Ir 2.1661 -1.2506 7.3510
Ir 2.1661 1.2506 3.3455
! **Calculated formation energy**: 0.35 eV per atom
! **Magnetic moment**: 0.0 μB/cell
! **V**: 32.6 Å³/f.u.


# 2
! Mo2Ir | Alexandria | GGA-PBE | relaxed; values from VASP
&SYSTEM
  ibrav = 0, nat = 3, ntyp = 2
/
ATOMIC_SPECIES
Ir 192.22 Ir.upf
Mo 95.94 Mo.upf
CELL_PARAMETERS angstrom
2.7354 0.0000 0.0000
-1.3677 6.3466 -0.0085
0.0000 0.5931 2.6703
ATOMIC_POSITIONS angstrom
Ir 0.0000 0.0000 0.0000
Mo 0.0000 4.7216 1.7534
Mo 1.3677 2.2181 0.9084
! **Relative energy among the computed polymorphs**: 35 meV/atom
! **Calculated formation energy**: -0.11 eV per atom
! **Magnetic moment**: 0.0 μB/cell
! **V**: 46.4 Å³/f.u.


# 3
! MoIr | Alexandria | GGA-PBE | relaxed; values from VASP
&SYSTEM
  ibrav = 0, nat = 16, ntyp = 2
/
ATOMIC_SPECIES
Mo 95.94 Mo.upf
Ir 192.22 Ir.upf
CELL_PARAMETERS angstrom
7.7051 0.0000 0.0000
0.0000 7.7051 0.0000
0.0000 0.0000 7.7051
ATOMIC_POSITIONS angstrom
Mo 1.1136 1.1136 1.1136
Mo 1.1136 6.5915 6.5915
Mo 6.5915 1.1136 6.5915
Mo 6.5915 6.5915 1.1136
Mo 4.9661 4.9661 4.9661
Mo 4.9661 2.7389 2.7389
Mo 2.7389 4.9661 2.7389
Mo 2.7389 2.7389 4.9661
Ir 2.5189 2.5189 2.5189
Ir 2.5189 5.1862 5.1862
Ir 5.1862 2.5189 5.1862
Ir 5.1862 5.1862 2.5189
Ir 6.3715 6.3715 6.3715
Ir 6.3715 1.3336 1.3336
Ir 1.3336 6.3715 1.3336
Ir 1.3336 1.3336 6.3715
! **Calculated formation energy**: 1.27 eV per atom
! **Magnetic moment**: 0.0 μB/cell
! **V**: 57.2 Å³/f.u.


# 4
! Mo4Ir5 | Alexandria | GGA-PBE | relaxed; values from VASP
&SYSTEM
  ibrav = 0, nat = 18, ntyp = 2
/
ATOMIC_SPECIES
Mo 95.94 Mo.upf
Ir 192.22 Ir.upf
CELL_PARAMETERS angstrom
7.6139 0.0000 0.0000
3.8069 6.5938 0.0000
0.0000 0.0000 5.4891
ATOMIC_POSITIONS angstrom
Mo 0.0000 0.0000 0.0000
Mo 0.0000 0.0000 2.7446
Mo 6.3625 2.1675 1.3723
Mo 2.5555 4.4263 1.3723
Mo 2.5028 0.0000 1.3723
Mo 5.0583 4.4263 4.1168
Mo 1.2514 2.1675 4.1168
Mo 5.1111 0.0000 4.1168
Ir 5.0818 4.3856 1.3723
Ir 1.2749 2.2082 1.3723
Ir 5.0641 0.0000 1.3723
Ir 6.3390 2.2082 4.1168
Ir 2.5321 4.3856 4.1168
Ir 2.5498 0.0000 4.1168
Ir 3.8069 2.1979 0.0000
Ir 7.6139 4.3959 2.7446
Ir 7.6139 4.3959 0.0000
Ir 3.8069 2.1979 2.7446
! **Relative energy among the computed polymorphs**: 61 meV/atom
! **Calculated formation energy**: -0.11 eV per atom
! **Magnetic moment**: 0.0 μB/cell
! **V**: 137.8 Å³/f.u.


# 5
! MoIr | Alexandria | GGA-PBE | relaxed; values from VASP
&SYSTEM
  ibrav = 0, nat = 2, ntyp = 2
/
ATOMIC_SPECIES
Mo 95.94 Mo.upf
Ir 192.22 Ir.upf
CELL_PARAMETERS angstrom
-2.4786 1.2068 -0.1456
-0.9786 -1.7849 1.8648
1.0299 2.4653 2.9003
ATOMIC_POSITIONS angstrom
Mo -1.2137 0.9436 2.3097
Ir 0.0000 0.0000 0.0000
! **Calculated formation energy**: -0.30 eV per atom
! **Magnetic moment**: 0.0 μB/cell
! **V**: 30.1 Å³/f.u.


# 6
! MoIr | Alexandria | GGA-PBE | relaxed; values from VASP
&SYSTEM
  ibrav = 0, nat = 4, ntyp = 2
/
ATOMIC_SPECIES
Ir 192.22 Ir.upf
Mo 95.94 Mo.upf
CELL_PARAMETERS angstrom
3.9395 0.0000 0.0000
-1.9697 3.4117 0.0000
0.0000 0.0000 5.2870
ATOMIC_POSITIONS angstrom
Ir 0.0000 2.2745 1.3217
Ir 1.9697 1.1372 3.9652
Mo 0.0000 0.0000 0.0000
Mo 0.0000 0.0000 2.6435
! **Calculated formation energy**: 0.56 eV per atom
! **Magnetic moment**: 0.0 μB/cell
! **V**: 35.5 Å³/f.u.


# 7
! MoIr | Alexandria | GGA-PBE | relaxed; values from VASP
&SYSTEM
  ibrav = 0, nat = 4, ntyp = 2
/
ATOMIC_SPECIES
Ir 192.22 Ir.upf
Mo 95.94 Mo.upf
CELL_PARAMETERS angstrom
-1.3670 -0.2654 -2.4046
2.3502 -4.1121 0.7234
-4.0518 -1.0240 2.4164
ATOMIC_POSITIONS angstrom
Ir -2.1350 -2.8671 1.5301
Ir -0.0705 -0.0233 0.0427
Mo -2.7795 -0.7186 0.0539
Mo -0.7930 -2.4372 -0.8857
! **Calculated formation energy**: -0.19 eV per atom
! **Magnetic moment**: 0.0 μB/cell
! **V**: 30.4 Å³/f.u.


# 8
! MoIr4 | Alexandria | GGA-PBE | relaxed; values from VASP
&SYSTEM
  ibrav = 0, nat = 5, ntyp = 2
/
ATOMIC_SPECIES
Mo 95.94 Mo.upf
Ir 192.22 Ir.upf
CELL_PARAMETERS angstrom
11.2317 -1.3790 -0.0099
11.2317 1.3790 -0.0099
11.0645 0.0000 2.3727
ATOMIC_POSITIONS angstrom
Mo 0.0000 0.0000 0.0000
Ir 13.4119 0.0000 0.9412
Ir 26.8445 0.0000 1.8838
Ir 6.6835 0.0000 0.4690
Ir 20.1160 0.0000 1.4116
! **Calculated formation energy**: -0.04 eV per atom
! **Magnetic moment**: 0.0 μB/cell
! **V**: 73.8 Å³/f.u.


# 9
! Mo4Ir | Alexandria | GGA-PBE | relaxed; values from VASP
&SYSTEM
  ibrav = 0, nat = 5, ntyp = 2
/
ATOMIC_SPECIES
Mo 95.94 Mo.upf
Ir 192.22 Ir.upf
CELL_PARAMETERS angstrom
-2.9002 2.9002 2.9002
2.9002 -2.9002 2.9002
2.9002 2.9002 -2.9002
ATOMIC_POSITIONS angstrom
Mo -1.4501 1.4501 1.4501
Mo 1.4501 1.4501 1.4501
Mo 1.4501 -1.4501 1.4501
Mo 1.4501 1.4501 -1.4501
Ir 0.0000 0.0000 0.0000
! **Relative energy among the computed polymorphs**: 1235 meV/atom
! **Calculated formation energy**: 1.29 eV per atom
! **Magnetic moment**: 0.0 μB/cell
! **V**: 97.6 Å³/f.u.


# 10
! MoIr | Alexandria | GGA-PBE | relaxed; values from VASP
&SYSTEM
  ibrav = 0, nat = 16, ntyp = 2
/
ATOMIC_SPECIES
Mo 95.94 Mo.upf
Ir 192.22 Ir.upf
CELL_PARAMETERS angstrom
7.5902 0.0000 0.0000
0.0000 7.5902 0.0000
0.0000 0.0000 4.5297
ATOMIC_POSITIONS angstrom
Mo 5.7165 4.3678 0.0000
Mo 1.9215 7.0175 2.2648
Mo 5.6687 0.5727 2.2648
Mo 1.8736 3.2224 0.0000
Mo 7.0175 5.6687 2.2648
Mo 3.2224 5.7165 0.0000
Mo 4.3678 1.8736 0.0000
Mo 0.5727 1.9215 2.2648
Ir 5.6879 6.9489 0.0000
Ir 1.8928 4.4364 2.2648
Ir 5.6974 3.1538 2.2648
Ir 1.9023 0.6413 0.0000
Ir 4.4364 5.6974 2.2648
Ir 0.6413 5.6879 0.0000
Ir 6.9489 1.9023 0.0000
Ir 3.1538 1.8928 2.2648
! **Calculated formation energy**: 0.10 eV per atom
! **Magnetic moment**: 0.0 μB/cell
! **V**: 32.6 Å³/f.u.


# 11
! MoIr4 | Alexandria | GGA-PBE | relaxed; values from VASP
&SYSTEM
  ibrav = 0, nat = 5, ntyp = 2
/
ATOMIC_SPECIES
Mo 95.94 Mo.upf
Ir 192.22 Ir.upf
CELL_PARAMETERS angstrom
2.4008 6.2255 1.1483
-2.0776 5.4185 3.4876
1.0740 -6.6802 -0.2487
ATOMIC_POSITIONS angstrom
Mo 0.0000 0.0000 0.0000
Ir -0.4210 2.2801 2.7785
Ir 0.1932 6.9625 2.7721
Ir 0.1299 4.6815 1.8639
Ir 1.8182 2.6837 1.6088
! **Calculated formation energy**: 0.45 eV per atom
! **Magnetic moment**: 0.2 μB/cell
! **V**: 82.1 Å³/f.u.


# 12
! MoIr | Alexandria | GGA-PBE | relaxed; values from VASP
&SYSTEM
  ibrav = 0, nat = 4, ntyp = 2
/
ATOMIC_SPECIES
Ir 192.22 Ir.upf
Mo 95.94 Mo.upf
CELL_PARAMETERS angstrom
-3.9928 1.0659 1.5882
-1.1446 -1.2073 4.1029
-0.3727 3.0544 3.1833
ATOMIC_POSITIONS angstrom
Ir -2.0661 1.0923 3.3276
Ir -3.4440 1.8207 5.5467
Mo -0.6888 0.3641 1.1093
Mo -4.8214 2.5489 7.7650
! **Calculated formation energy**: 0.14 eV per atom
! **Magnetic moment**: 0.0 μB/cell
! **V**: 30.7 Å³/f.u.


- Which of these has the highest calculated formation energy?
  Mo4Ir